# 1
Here is a relaxed Al4InRh crystal from Alexandria. Energies are from PBE.

Lattice parameters (Å, degrees): 7.4422 7.4422 7.4422 90.00 90.00 90.00
With the nearest neighbours (Å) after each atom.
Space group F-43m (No. 216)
Asymmetric unit:
Al  0.1253  0.1253  0.1253  6 Al 2.62-2.64
In  0.2500  0.2500  0.7500  12 Al 3.09, 4 Rh 3.22
Rh  0.0000  0.0000  0.5000  12 Al 3.08, 4 In 3.22

***

# 2
Here is a relaxed Al2InRh crystal from Alexandria. Energies are from PBE.

Lattice parameters (Å, degrees): 4.0689 4.0689 3.9612 90.00 90.00 90.00
With the nearest neighbours (Å) after each atom.
Space group P4/mmm (No. 123)
Asymmetric unit:
Al  0.0000  0.5000  0.0000  4 In 2.84, 4 Rh 2.84, 4 Al 2.88
In  0.0000  0.0000  0.5000  8 Al 2.84, 4 Rh 2.88
Rh  0.5000  0.5000  0.5000  8 Al 2.84, 4 In 2.88

***

# 3
Here is a relaxed AlInRh3 crystal from Alexandria. Energies are from PBE.

Lattice parameters (Å, degrees): 4.8138 4.8138 4.8138 90.00 90.00 90.00
With the nearest neighbours (Å) after each atom.
Space group Pm-3m (No. 221)
Asymmetric unit:
Al  0.0000  0.0000  0.0000  12 Rh 3.40
In  0.5000  0.5000  0.5000  6 Rh 2.41
Rh  0.0000  0.5000  0.5000  2 In 2.41

Computed properties:
offset from the most stable computed form	990	meV per atom

***

no.,raw total energy (eV per cell)
1,-98.45
2,-18.37
3,-22.77